(1)
DFT (PBE) results for crystalline PrGdSb at its relaxed geometry.

POSCAR file:
```
PrGdSb
1.0
0.000 3.678 3.678
3.678 0.000 3.678
3.678 3.678 0.000
Pr Gd Sb
1 1 1
direct
0.750 0.750 0.750
0.250 0.250 0.250
0.000 0.000 0.000
```

Results
space group	F-43m (216)
distance to the lowest polymorph of the same formula	0.0000	eV/atom
VASP energy	-15.41	eV per cell

***

(2)
DFT (PBE) results for crystalline PrGdSb2 at its relaxed geometry.

POSCAR file:
```
PrGdSb2
1.0
4.489 0.000 0.000
0.000 4.489 0.000
0.000 0.000 6.348
Sb Pr Gd
2 1 1
direct
0.000 0.000 0.500
0.500 0.500 0.000
0.000 0.000 0.000
0.500 0.500 0.500
```

Results
space group	P4/mmm (123)
VASP energy	-22.34	eV per cell

***

(3)
DFT (PBE) results for crystalline PrGdSb2Se2 at its relaxed geometry.

POSCAR file:
```
PrGdSb2Se2
1.0
-2.246 0.463 3.530
3.353 -1.126 2.281
2.580 8.697 0.501
Sb Gd Se Pr
2 1 2 1
direct
0.000 0.500 0.996
0.500 0.000 0.996
0.500 0.500 0.703
0.500 0.500 0.378
0.000 0.000 0.632
0.000 0.000 0.295
```

Results
space group	P4mm (99)
VASP energy	-32.89	eV per cell

***

(4)
DFT (PBE) results for crystalline Pr2GdSe3 at its relaxed geometry.

POSCAR file:
```
Pr2GdSe3
1.0
-3.408 -0.174 -2.437
3.584 -1.760 -1.279
-2.773 -8.927 4.514
Se Gd Pr
3 1 2
direct
0.000 0.000 0.500
0.333 0.667 0.156
0.667 0.333 0.844
0.000 0.000 0.000
0.333 0.667 0.670
0.667 0.333 0.330
```

Results
space group	P-3m1 (164)
VASP energy	-35.64	eV per cell

***

- Which value of VASP energy does entry 1 give?
  -15.41 eV per cell